# La3Mg, optimized geometry, DFT GGA-PBE
# Energy relative to the elements ... -3 kJ/mol of atoms
# E ... -4.122 eV/atom
data_La3Mg
_chemical_formula_sum 'La6 Mg2'
_cell_length_a 12.0970
_cell_length_b 3.7169
_cell_length_c 6.1034
_cell_angle_alpha 90.00
_cell_angle_beta 102.76
_cell_angle_gamma 90.00
_space_group_name_H-M_alt 'C 1 2/m 1'
_space_group_IT_number 12
_space_group_name_Hall '-C 2y'
loop_
_atom_site_label
_atom_site_type_symbol
_atom_site_fract_x
_atom_site_fract_y
_atom_site_fract_z
La1 La 0.0000 0.0000 0.0000
La2 La 0.2422 0.0000 0.7373
Mg1 Mg 0.0000 0.5000 0.5000